Entry 1:
Crystalline InGa2RhBr at its relaxed geometry. Source: the Alexandria database, functional GGA-PBE.

symmetry = No. 123
E_tot = -0.296 Ry per atom

Unit cell a=4.8402 b=4.8402 c=5.2851 alpha=90.00 beta=90.00 gamma=90.00
Fractional positions:
In1 0.0000 0.0000 0.0000
Ga1 0.0000 0.5000 0.5000
Ga2 0.5000 0.0000 0.5000
Rh1 0.0000 0.0000 0.5000
Br1 0.5000 0.5000 0.0000

Entry 2:
Crystalline In2GaSBr at its relaxed geometry. Source: the Alexandria database, functional GGA-PBE.

symmetry = No. 123
E_tot = -0.194 Ry per atom

Unit cell a=5.5647 b=5.5647 c=5.1704 alpha=90.00 beta=90.00 gamma=90.00
Fractional positions:
In1 0.0000 0.5000 0.0000
In2 0.5000 0.0000 0.0000
Ga1 0.0000 0.0000 0.5000
S1 0.5000 0.5000 0.0000
Br1 0.5000 0.5000 0.5000

Entry 3:
Crystalline Sc2InGaBr at its relaxed geometry. Source: the Alexandria database, functional GGA-PBE.

symmetry = No. 123
E_tot = -0.249 Ry per atom

Unit cell a=6.3392 b=6.3392 c=5.6746 alpha=90.00 beta=90.00 gamma=90.00
Fractional positions:
Sc1 0.0000 0.5000 0.0000
Sc2 0.5000 0.0000 0.0000
In1 0.0000 0.0000 0.0000
Ga1 0.0000 0.0000 0.5000
Br1 0.5000 0.5000 0.5000

Entry 4:
Crystalline InGaSe2Br at its relaxed geometry. Source: the Alexandria database, functional GGA-PBE.

symmetry = No. 123
E_tot = -0.224 Ry per atom
polymorph energy (0 for the lowest one) = 0 meV per atom

Unit cell a=5.0240 b=5.0240 c=5.3991 alpha=90.00 beta=90.00 gamma=90.00
Fractional positions:
In1 0.0000 0.0000 0.0000
Ga1 0.5000 0.5000 0.5000
Se1 0.0000 0.5000 0.5000
Se2 0.5000 0.0000 0.5000
Br1 0.5000 0.5000 0.0000

Spin magnetization across the listed records, respectively: 0.0 0.0 0.1 0.0 μB per formula unit.
ΔE_f (raw) across the listed records, respectively: -471 224 630 -173 meV per atom.